Record 1
HfInFeRe (PBE, relaxed); E above lowest polymorph = 0 meV/atom; raw total energy = -8.1946 eV/atom
1.0
0.0000 3.2249 3.2249
3.2249 0.0000 3.2249
3.2249 3.2249 0.0000
Hf In Fe Re
1 1 1 1
Direct
0.0000 0.0000 0.0000
0.5000 0.5000 0.5000
0.7500 0.7500 0.7500
0.2500 0.2500 0.2500


Record 2
PaAlFe (PBE, relaxed); raw total energy = -6.2432 eV/atom
1.0
0.0000 3.1866 3.1866
3.1866 0.0000 3.1866
3.1866 3.1866 0.0000
Pa Al Fe
1 1 1
Direct
0.0000 0.0000 0.0000
0.7500 0.7500 0.7500
0.2500 0.2500 0.2500


Record 3
DyInGe (PBE, relaxed); raw total energy = -4.1087 eV/atom
1.0
0.0000 3.4701 3.4701
3.4701 0.0000 3.4701
3.4701 3.4701 0.0000
Dy In Ge
1 1 1
Direct
0.0000 0.0000 0.0000
0.2500 0.2500 0.2500
0.7500 0.7500 0.7500